Record 1
SbP2WCl | PBE-GGA | relaxed

Cell: 5.063 5.063 4.882 Å, 90.00 90.00 90.00°
Site moments in Bohr magnetons follow the coordinates.
Positions (direct):
Sb1 0.000 0.000 0.000  0.00
P1 0.500 0.000 0.000  -0.21
P2 0.000 0.500 0.000  -0.21
W1 0.500 0.500 0.500  3.04
Cl1 0.000 0.000 0.500  0.01

Summary:
relative energy among the computed polymorphs = 1.131 eV/atom
uncorrected formation energy = 1.616 eV/atom
SG = P4/mmm
density = 5.347 Mg/m³

Record 2
Tb5ThAu4 | PBE-GGA | relaxed

Cell: 3.604 3.604 19.383 Å, 90.00 90.00 90.00°
Positions (direct):
Tb1 0.500 0.500 0.311
Tb2 0.500 0.500 0.500
Tb3 0.500 0.500 0.689
Tb4 0.500 0.500 0.875
Tb5 0.500 0.500 0.125
Au1 0.000 0.000 0.594
Au2 0.000 0.000 0.781
Au3 0.000 0.000 0.406
Au4 0.000 0.000 0.219
Th1 0.000 0.000 0.000

Summary:
SG = P4/mmm
density = 11.969 Mg/m³
ΔH_f (0 K) = -6.77 eV per formula unit

Record 3
Ho2InB2Rh5 | PBE-GGA | relaxed

Cell: 3.224 9.644 9.644 Å, 90.00 90.00 90.00°
Positions (direct):
Rh1 0.500 0.000 0.500
Rh2 0.500 0.429 0.274
Rh3 0.500 0.774 0.929
Rh4 0.500 0.929 0.226
Rh5 0.500 0.726 0.429
Rh6 0.500 0.071 0.774
Rh7 0.500 0.571 0.726
Rh8 0.500 0.274 0.571
Rh9 0.500 0.226 0.071
Rh10 0.500 0.500 0.000
In1 0.000 0.500 0.500
In2 0.000 0.000 0.000
Ho1 0.000 0.676 0.176
Ho2 0.000 0.176 0.324
Ho3 0.000 0.324 0.824
Ho4 0.000 0.824 0.676
B1 0.000 0.121 0.621
B2 0.000 0.879 0.379
B3 0.000 0.621 0.879
B4 0.000 0.379 0.121

Summary:
SG = P4/mbm
density = 10.863 Mg/m³
ΔH_f (0 K) = -8.07 eV per formula unit

Record 4
HgPd2S | PBE-GGA | relaxed

Cell: 3.175 3.175 8.120 Å, 78.73 78.73 60.00°
Positions (direct):
Pd1 0.072 0.072 0.785
Pd2 0.261 0.261 0.216
Hg1 0.500 0.500 0.501
S1 0.667 0.667 0.998

Summary:
uncorrected formation energy = -0.055 eV/atom
SG = R3m
density = 10.712 Mg/m³